! GGA-PBE ScPaTa, relaxed; values from VASP
&SYSTEM
  ibrav = 0, nat = 3, ntyp = 3
/
ATOMIC_SPECIES
Sc 44.96 Sc.upf
Pa 231.04 Pa.upf
Ta 180.95 Ta.upf
ATOMIC_POSITIONS crystal
Sc 0.010 0.000 0.000
Pa 0.543 0.667 0.333
Ta 0.447 0.333 0.667
CELL_PARAMETERS angstrom
3.074 0.000 0.000
0.000 4.954 0.000
0.000 -2.477 4.290
! V   21.8 A^3/atom
! SG   No. 156

***

! GGA-PBE ScPaTa, relaxed; values from VASP
&SYSTEM
  ibrav = 0, nat = 6, ntyp = 3
/
ATOMIC_SPECIES
Pa 231.04 Pa.upf
Ta 180.95 Ta.upf
Sc 44.96 Sc.upf
ATOMIC_POSITIONS crystal
Pa 0.856 0.856 0.712
Pa 0.144 0.144 0.288
Ta 0.281 0.281 0.561
Sc 0.556 0.556 0.113
Ta 0.719 0.719 0.439
Sc 0.444 0.444 0.887
CELL_PARAMETERS angstrom
-0.565 1.171 2.921
-3.007 0.676 -0.852
-2.305 -13.678 3.288
! V   24.0 A^3/atom
! SG   No. 139

***

Calculated formation energy values, unit meV/atom, following the record order: 213; 287.
Magnetization values, unit μB/cell, following the record order: 0.3; 0.0.
Energy relative to the lowest polymorph listed for this composition values, unit eV per atom, following the record order: 0.000; 0.074.